# 1
A geometry-optimized Sm2ErSb2 structure. Source: Alexandria, functional GGA-PBE.

For the size of the total moment, the calculation gives 0.0 μB/cell. The calculated volume comes out at 31.71 Å³ per atom. For the electronic total energy, the calculation gives -5.278 eV/atom.

The structure belongs to space group Ibam (No. 72); the cell edges are 8.483, 11.822 and 6.324 Å and the angles 90.00°, 90.00° and 90.00°. The asymmetric unit holds Sm at (0.144, 0.152, 0.000), Er at (0.000, 0.500, 0.250) and Sb at (0.220, 0.108, 0.500).

***

# 2
A geometry-optimized UAg2Pd6 structure. Source: Alexandria, functional GGA-PBE.

For the size of the total moment, the calculation gives 4.4 μB/cell. The calculated volume comes out at 17.12 Å³ per atom. The formation energy is -103 meV/atom.

The structure belongs to space group Amm2 (No. 38); the cell edges are 2.902, 13.851 and 7.666 Å and the angles 90.00°, 90.00° and 90.00°. The asymmetric unit holds U at (0.000, 0.000, 0.000), Ag at (0.500, 0.162, 0.756), Pd at (0.000, 0.000, 0.644), Pd at (0.000, 0.179, 0.431), Pd at (0.500, 0.000, 0.329) and Pd at (0.500, 0.162, 0.114).

***

# 3
A geometry-optimized Th2Zn7In structure. Source: Alexandria, functional GGA-PBE.

For the size of the total moment, the calculation gives 0.0 μB/cell. The calculated volume comes out at 19.73 Å³ per atom. The formation energy is -279 meV/atom.

The structure belongs to space group P-4m2 (No. 115); the cell edges are 4.299, 4.299 and 10.679 Å and the angles 90.00°, 90.00° and 90.00°. The asymmetric unit holds Th at (0.000, 0.500, 0.236), Zn at (0.000, 0.000, 0.000), Zn at (0.000, 0.500, 0.648), Zn at (0.000, 0.500, 0.875), Zn at (0.500, 0.500, 0.000), Zn at (0.500, 0.500, 0.500) and In at (0.000, 0.000, 0.500).

***

# 4
A geometry-optimized PmPr2HoS4 structure. Source: Alexandria, functional GGA-PBE.

For the size of the total moment, the calculation gives 0.0 μB/cell. The calculated volume comes out at 23.21 Å³ per atom. For the electronic total energy, the calculation gives -6.436 eV/atom.

The structure belongs to space group P2/m (No. 10); the cell edges are 6.970, 3.979 and 7.071 Å and the angles 90.00°, 108.79° and 90.00°. The asymmetric unit holds Pm at (0.000, 0.000, 0.000), Pr at (0.000, 0.500, 0.500), Pr at (0.500, 0.000, 0.500), Ho at (0.500, 0.500, 0.000), S at (0.253, 0.500, 0.238) and S at (0.263, 0.000, 0.767).